(1)
Here is a relaxed Mo2C crystal from Alexandria via LeMat-Bulk. Energies are from PBEsol.

Geometry as POSCAR:
```
Mo2C
1.0
-0.5674 2.7117 0.3011
-4.2845 -2.1321 -1.7691
-1.5605 -0.8614 4.8174
C Mo
2 4
Direct
0.8828 0.7656 0.4208 C
0.1172 0.2344 0.9208 C
0.4750 0.9500 0.7096 Mo
0.5250 0.0500 0.2096 Mo
0.7792 0.5584 0.0362 Mo
0.2208 0.4416 0.5362 Mo
```

## Properties
**Energy relative to the elements**: 0.007 eV per atom
**Calculated volume**: 70 Å³/cell
**Calculated total energy**: -66.3 eV/cell
**Space group**: No. 36
**Total magnetic moment**: 0.0 μB/f.u.

***

(2)
Here is a relaxed AgSN2O crystal from Alexandria via LeMat-Bulk. Energies are from PBEsol.

Geometry as POSCAR:
```
AgSN2O
1.0
-0.2803 -2.9580 -2.5346
0.8848 -2.5927 2.9280
-3.9003 -0.3641 0.8562
O N S Ag
1 2 1 1
Direct
0.5000 0.0000 0.0000 O
0.0000 0.0000 0.5000 N
0.0000 0.5000 0.0000 N
0.5000 0.5000 0.5000 S
0.0000 0.0000 0.0000 Ag
```

## Properties
**Calculated volume**: 63 Å³/cell
**Calculated total energy**: -19.4 eV/cell
**Space group**: No. 123
**Total magnetic moment**: 1.4 μB/f.u.
**E_form (uncorrected)**: 2.118 eV per atom

***

(3)
Here is a relaxed CaScCo4 crystal from Alexandria via LeMat-Bulk. Energies are from PBEsol.

Geometry as POSCAR:
```
CaScCo4
1.0
-0.4790 -1.8305 4.5124
1.3910 -4.5968 0.9358
3.9707 -0.8467 2.7309
Co Ca Sc
4 1 1
Direct
0.3757 0.8728 0.3757 Co
0.3757 0.3757 0.8728 Co
0.8728 0.3757 0.3757 Co
0.3757 0.3757 0.3757 Co
0.0000 0.0000 0.0000 Ca
0.7500 0.7500 0.7500 Sc
```

## Properties
**Energy relative to the elements**: -0.073 eV per atom
**Calculated volume**: 83 Å³/cell
**Calculated total energy**: -40.1 eV/cell
**Space group**: No. 216
**Total magnetic moment**: 4.0 μB/f.u.

***

(4)
Here is a relaxed Zr3Au crystal from Alexandria via LeMat-Bulk. Energies are from PBEsol.

Geometry as POSCAR:
```
Zr3Au
1.0
3.1990 0.0000 0.0000
0.0000 3.1990 0.0000
0.0000 0.0000 8.1086
Zr Au
3 1
Direct
0.5000 0.5000 0.7660 Zr
0.0000 0.0000 0.5000 Zr
0.5000 0.5000 0.2340 Zr
0.0000 0.0000 0.0000 Au
```

## Properties
**Energy relative to the elements**: -0.321 eV per atom
**Calculated volume**: 83 Å³/cell
**Calculated total energy**: -32.5 eV/cell
**Space group**: No. 123
**Total magnetic moment**: 0.0 μB/f.u.

***

(5)
Here is a relaxed KCaAs2 crystal from Alexandria via LeMat-Bulk. Energies are from PBEsol.

Geometry as POSCAR:
```
KCaAs2
1.0
-3.5292 1.4918 -0.9089
-1.5221 -3.7000 -0.1627
0.1308 -0.3763 7.4048
As Ca K
2 1 1
Direct
0.1529 0.8753 0.3058 As
0.9847 0.8751 0.9693 As
0.5602 0.3753 0.1204 Ca
0.8022 0.3742 0.6045 K
```

## Properties
**Energy relative to the elements**: -0.704 eV per atom
**Calculated volume**: 113 Å³/cell
**Calculated total energy**: -16.3 eV/cell
**Space group**: No. 38
**Total magnetic moment**: 0.0 μB/f.u.

***

(6)
Here is a relaxed AlCr crystal from Alexandria via LeMat-Bulk. Energies are from PBEsol.

Geometry as POSCAR:
```
AlCr
1.0
-1.0393 -2.1949 -1.7178
4.7436 -0.5696 0.4334
-2.6823 -2.5032 4.8213
Al Cr
3 3
Direct
0.6386 0.2771 0.2936 Al
0.6500 0.2999 0.7685 Al
0.9668 0.9335 0.9411 Al
0.3115 0.6230 0.1306 Cr
0.9467 0.8935 0.4325 Cr
0.3198 0.6397 0.6004 Cr
```

## Properties
**Energy relative to the elements**: -0.064 eV per atom
**Calculated volume**: 77 Å³/cell
**Calculated total energy**: -43.4 eV/cell
**Space group**: No. 8
**Total magnetic moment**: 0.3 μB/f.u.

***

(7)
Here is a relaxed Fe2AgTe crystal from Alexandria via LeMat-Bulk. Energies are from PBEsol.

Geometry as POSCAR:
```
Fe2AgTe
1.0
-1.3071 3.2708 -1.6010
-3.4377 -0.5469 1.6893
3.6492 0.7557 3.2399
Fe Te Ag
2 1 1
Direct
0.7500 0.2500 0.5000 Fe
0.0000 0.0000 0.0000 Fe
0.5000 0.5000 0.0000 Te
0.2500 0.7500 0.5000 Ag
```

## Properties
**Calculated volume**: 62 Å³/cell
**Calculated total energy**: -22.9 eV/cell
**Space group**: No. 119
**Total magnetic moment**: 5.0 μB/f.u.
**E_form (uncorrected)**: 0.457 eV per atom

***

(8)
Here is a relaxed CaBiPd crystal from Alexandria via LeMat-Bulk. Energies are from PBEsol.

Geometry as POSCAR:
```
CaBiPd
1.0
4.7306 0.0000 0.0000
0.0000 7.3723 0.0000
0.0000 0.0000 8.0697
Bi Ca Pd
4 4 4
Direct
0.2500 0.1954 0.9080 Bi
0.7500 0.8046 0.0920 Bi
0.7500 0.3046 0.4080 Bi
0.2500 0.6954 0.5920 Bi
0.2500 0.5077 0.2038 Ca
0.2500 0.0077 0.2962 Ca
0.7500 0.9923 0.7038 Ca
0.7500 0.4923 0.7962 Ca
0.7500 0.6949 0.4196 Pd
0.2500 0.8051 0.9196 Pd
0.7500 0.1949 0.0804 Pd
0.2500 0.3051 0.5804 Pd
```

## Properties
**Energy relative to the elements**: -0.772 eV per atom
**Calculated volume**: 281 Å³/cell
**Calculated total energy**: -58.8 eV/cell
**Space group**: No. 62
**Total magnetic moment**: 0.0 μB/f.u.

***

(9)
Here is a relaxed Ta2CdHg crystal from Alexandria via LeMat-Bulk. Energies are from PBEsol.

Geometry as POSCAR:
```
Ta2CdHg
1.0
-0.1741 -1.8627 2.1738
3.5453 1.8922 1.9052
-3.4314 3.6007 2.8093
Cd Hg Ta
1 1 2
Direct
0.5000 0.5000 0.0000 Cd
0.5000 0.5000 0.5000 Hg
0.9997 0.0000 0.7515 Ta
0.0003 0.0000 0.2485 Ta
```

## Properties
**Energy relative to the elements**: 0.262 eV per atom
**Calculated volume**: 73 Å³/cell
**Calculated total energy**: -25.8 eV/cell
**Space group**: No. 47
**Total magnetic moment**: 0.0 μB/f.u.

***

(10)
Here is a relaxed CdCuRh crystal from Alexandria via LeMat-Bulk. Energies are from PBEsol.

Geometry as POSCAR:
```
CdCuRh
1.0
3.0192 0.0000 0.0000
0.0000 3.0192 0.0000
-1.5096 -1.5096 4.7938
Cd Rh Cu
1 1 1
Direct
0.0043 0.0043 0.0085 Cd
0.3195 0.3195 0.6390 Rh
0.6762 0.6762 0.3524 Cu
```

## Properties
**Energy relative to the elements**: 0.039 eV per atom
**Calculated volume**: 44 Å³/cell
**Calculated total energy**: -13.6 eV/cell
**Space group**: No. 107
**Total magnetic moment**: 0.0 μB/f.u.

***

(11)
Here is a relaxed Y2MnPt crystal from Alexandria via LeMat-Bulk. Energies are from PBEsol.

Geometry as POSCAR:
```
Y2MnPt
1.0
-2.0003 1.3355 -2.5047
-2.9535 -3.6000 0.4392
-0.2247 3.7844 4.6043
Y Pt Mn
2 1 1
Direct
0.0276 0.5276 0.0552 Y
0.2434 0.2434 0.4867 Y
0.7726 0.7726 0.5451 Pt
0.4565 0.9565 0.9129 Mn
```

## Properties
**Energy relative to the elements**: -0.356 eV per atom
**Calculated volume**: 85 Å³/cell
**Calculated total energy**: -31.8 eV/cell
**Space group**: No. 44
**Total magnetic moment**: 3.1 μB/f.u.

***

(12)
Here is a relaxed Al2ReSb crystal from Alexandria via LeMat-Bulk. Energies are from PBEsol.

Geometry as POSCAR:
```
Al2ReSb
1.0
-0.0572 1.7364 2.8084
-1.0686 -2.6677 1.6276
5.7825 -1.6319 1.1218
Al Sb Re
2 1 1
Direct
0.0002 0.0000 0.2085 Al
0.9998 0.0000 0.7915 Al
0.5000 0.5000 0.5000 Sb
0.5000 0.5000 0.0000 Re
```

## Properties
**Calculated volume**: 67 Å³/cell
**Calculated total energy**: -25.7 eV/cell
**Space group**: No. 123
**Total magnetic moment**: 0.0 μB/f.u.
**E_form (uncorrected)**: 0.086 eV per atom

***

(13)
Here is a relaxed LaFeOs2 crystal from Alexandria via LeMat-Bulk. Energies are from PBEsol.

Geometry as POSCAR:
```
LaFeOs2
1.0
2.9359 0.0000 0.0000
0.0000 4.8797 0.0000
-1.4679 -2.4398 4.8182
La Os Fe
1 2 1
Direct
0.2485 0.7485 0.4970 La
0.7539 0.2539 0.5078 Os
0.0292 0.0292 0.0585 Os
0.4684 0.4684 0.9368 Fe
```

## Properties
**Energy relative to the elements**: 0.648 eV per atom
**Calculated volume**: 69 Å³/cell
**Calculated total energy**: -36.1 eV/cell
**Space group**: No. 44
**Total magnetic moment**: 2.8 μB/f.u.

***

(14)
Here is a relaxed Ca2TcRu crystal from Alexandria via LeMat-Bulk. Energies are from PBEsol.

Geometry as POSCAR:
```
Ca2TcRu
1.0
3.9562 0.0000 0.0000
0.0000 3.9562 0.0000
-1.9781 -1.9781 4.7075
Tc Ru Ca
1 1 2
Direct
0.0000 0.0000 0.0000 Tc
0.5000 0.5000 0.0000 Ru
0.7500 0.2500 0.5000 Ca
0.2500 0.7500 0.5000 Ca
```

## Properties
**Energy relative to the elements**: 0.759 eV per atom
**Calculated volume**: 74 Å³/cell
**Calculated total energy**: -22.7 eV/cell
**Space group**: No. 139
**Total magnetic moment**: 0.0 μB/f.u.

***

(15)
Here is a relaxed Ba3LiH crystal from Alexandria via LeMat-Bulk. Energies are from PBEsol.

Geometry as POSCAR:
```
Ba3LiH
1.0
5.7701 0.0000 0.0000
0.0000 5.7701 0.0000
0.0000 0.0000 5.7701
Ba Li H
3 1 1
Direct
0.0000 0.0000 0.5000 Ba
0.5000 0.0000 0.0000 Ba
0.0000 0.5000 0.0000 Ba
0.5000 0.5000 0.5000 Li
0.0000 0.0000 0.0000 H
```

## Properties
**Calculated volume**: 192 Å³/cell
**Calculated total energy**: -12.1 eV/cell
**Space group**: No. 221
**Total magnetic moment**: 0.0 μB/f.u.

***

(16)
Here is a relaxed LaMgTa4 crystal from Alexandria via LeMat-Bulk. Energies are from PBEsol.

Geometry as POSCAR:
```
LaMgTa4
1.0
5.6432 0.0000 0.0000
2.8216 4.8872 0.0000
2.8216 1.6291 4.6077
Ta La Mg
4 1 1
Direct
0.8721 0.3760 0.3760 Ta
0.3760 0.3760 0.8721 Ta
0.3760 0.8721 0.3760 Ta
0.3760 0.3760 0.3760 Ta
0.7500 0.7500 0.7500 La
0.0000 0.0000 0.0000 Mg
```

## Properties
**Energy relative to the elements**: 0.439 eV per atom
**Calculated volume**: 127 Å³/cell
**Calculated total energy**: -54.6 eV/cell
**Space group**: No. 216
**Total magnetic moment**: 0.0 μB/f.u.

***

(17)
Here is a relaxed ZrRu2 crystal from Alexandria via LeMat-Bulk. Energies are from PBEsol.

Geometry as POSCAR:
```
ZrRu2
1.0
-2.0262 -4.6594 0.6952
1.5073 1.4689 -4.6765
15.3789 -6.2405 2.9966
Zr Ru
8 16
Direct
0.0000 0.0000 0.0914 Zr
0.6667 0.3333 0.6559 Zr
0.3333 0.6667 0.3441 Zr
0.0000 0.0000 0.4086 Zr
0.0000 0.0000 0.9086 Zr
0.6667 0.3333 0.8441 Zr
0.0000 0.0000 0.5914 Zr
0.3333 0.6667 0.1559 Zr
0.3333 0.6667 0.8733 Ru
0.0000 0.5000 0.5000 Ru
0.5000 0.0000 0.0000 Ru
0.8383 0.1617 0.2500 Ru
0.5000 0.5000 0.5000 Ru
0.5000 0.5000 0.0000 Ru
0.0000 0.5000 0.0000 Ru
0.6667 0.3333 0.1267 Ru
0.5000 0.0000 0.5000 Ru
0.6765 0.8383 0.7500 Ru
0.3333 0.6667 0.6267 Ru
0.3235 0.1617 0.2500 Ru
0.1617 0.3235 0.7500 Ru
0.1617 0.8383 0.7500 Ru
0.6667 0.3333 0.3733 Ru
0.8383 0.6765 0.2500 Ru
```

## Properties
**Energy relative to the elements**: -0.342 eV per atom
**Calculated volume**: 384 Å³/cell
**Calculated total energy**: -243.7 eV/cell
**Space group**: No. 194
**Total magnetic moment**: 0.0 μB/f.u.

***

(18)
Here is a relaxed CoSb2 crystal from Alexandria via LeMat-Bulk. Energies are from PBEsol.

Geometry as POSCAR:
```
CoSb2
1.0
-3.2635 3.3113 -4.2802
3.2670 -2.8976 -4.7327
-5.4784 -2.8307 1.9871
Sb Co
8 4
Direct
0.1453 0.6513 0.3337 Sb
0.6453 0.3487 0.1663 Sb
0.8547 0.3487 0.6663 Sb
0.6413 0.8536 0.6297 Sb
0.3547 0.6513 0.8337 Sb
0.3587 0.1464 0.3703 Sb
0.1413 0.1464 0.8703 Sb
0.8587 0.8536 0.1297 Sb
0.5011 0.7296 0.2174 Co
0.4989 0.2704 0.7826 Co
0.0011 0.2704 0.2826 Co
0.9989 0.7296 0.7174 Co
```

## Properties
**Calculated volume**: 234 Å³/cell
**Calculated total energy**: -70.2 eV/cell
**Space group**: No. 14
**Total magnetic moment**: 0.0 μB/f.u.
**E_form (uncorrected)**: -0.233 eV per atom

***

(19)
Here is a relaxed CrCoIr2 crystal from Alexandria via LeMat-Bulk. Energies are from PBEsol.

Geometry as POSCAR:
```
CrCoIr2
1.0
2.6396 0.0000 0.0000
0.0000 3.5795 0.0000
0.0000 0.0000 5.2820
Ir Co Cr
2 1 1
Direct
0.0000 0.0000 0.7518 Ir
0.0000 0.0000 0.2482 Ir
0.5000 0.5000 0.0000 Co
0.5000 0.5000 0.5000 Cr
```

## Properties
**Energy relative to the elements**: -0.103 eV per atom
**Calculated volume**: 50 Å³/cell
**Calculated total energy**: -38.0 eV/cell
**Space group**: No. 47
**Total magnetic moment**: 0.7 μB/f.u.

***

(20)
Here is a relaxed YTa2Cd crystal from Alexandria via LeMat-Bulk. Energies are from PBEsol.

Geometry as POSCAR:
```
YTa2Cd
1.0
-1.8158 -3.7660 -0.1171
3.4257 -1.5960 -1.7918
1.7339 -0.9658 4.1753
Ta Cd Y
2 1 1
Direct
0.0000 0.5000 0.0000 Ta
0.5000 0.0000 0.0000 Ta
0.0000 0.0000 0.5000 Cd
0.5000 0.5000 0.5000 Y
```

## Properties
**Energy relative to the elements**: 0.342 eV per atom
**Calculated volume**: 81 Å³/cell
**Calculated total energy**: -31.8 eV/cell
**Space group**: No. 123
**Total magnetic moment**: 0.0 μB/f.u.